(1)
A relaxed structure of LaCd5Pd3. Source: the Alexandria database, functional PBE.

Formation energy, eV per atom: -0.359
Crystal system: orthorhombic

Structure (CIF):
```
data_LaCd5Pd3
_chemical_formula_sum 'La4 Cd20 Pd12'
_cell_length_a 4.119
_cell_length_b 14.322
_cell_length_c 13.413
_cell_angle_alpha 90.00
_cell_angle_beta 90.00
_cell_angle_gamma 90.00
_symmetry_space_group_name_H-M 'C m c m'
_symmetry_Int_Tables_number 63
_symmetry_space_group_name_Hall '-C 2c 2'
loop_
_atom_site_label
_atom_site_fract_x
_atom_site_fract_y
_atom_site_fract_z
_atom_site_occupancy
La1 0.000 0.146 0.250 1
Cd1 0.000 0.000 0.000 1
Cd2 0.000 0.196 0.546 1
Cd3 0.000 0.425 0.147 1
Pd1 0.000 0.196 0.750 1
Pd2 0.000 0.386 0.583 1
```

(2)
A relaxed structure of In2BHRh6. Source: the Alexandria database, functional PBE.

Raw total energy, eV per formula unit: -63.10
Crystal system: tetragonal

Structure (CIF):
```
data_In2BHRh6
_chemical_formula_sum 'In4 B2 H2 Rh12'
_cell_length_a 5.765
_cell_length_b 5.765
_cell_length_c 8.129
_cell_angle_alpha 90.00
_cell_angle_beta 90.00
_cell_angle_gamma 90.00
_symmetry_space_group_name_H-M 'I 4/m m m'
_symmetry_Int_Tables_number 139
_symmetry_space_group_name_Hall '-I 4 2'
loop_
_atom_site_label
_atom_site_fract_x
_atom_site_fract_y
_atom_site_fract_z
_atom_site_occupancy
In1 0.000 0.500 0.250 1
B1 0.000 0.000 0.000 1
H1 0.000 0.000 0.500 1
Rh1 0.000 0.000 0.255 1
Rh2 0.246 0.246 0.500 1
```

(3)
A relaxed structure of CuSiMo2. Source: the Alexandria database, functional PBE.

E_form (uncorrected), kJ per mole of atoms: 20
Crystal system: trigonal

Structure (CIF):
```
data_CuSiMo2
_chemical_formula_sum 'Cu3 Si3 Mo6'
_cell_length_a 2.7633
_cell_length_b 2.7633
_cell_length_c 26.4518
_cell_angle_alpha 90.00
_cell_angle_beta 90.00
_cell_angle_gamma 120.00
_symmetry_space_group_name_H-M 'R 3 m'
_symmetry_Int_Tables_number 160
_symmetry_space_group_name_Hall 'R 3 -2"'
loop_
_atom_site_label
_atom_site_fract_x
_atom_site_fract_y
_atom_site_fract_z
_atom_site_occupancy
Cu1 0.0000 0.0000 0.0000 1
Si1 0.0000 0.0000 0.7407 1
Mo1 0.0000 0.0000 0.2469 1
Mo2 0.0000 0.0000 0.4892 1
```

(4)
A relaxed structure of BaBe2SnF8. Source: the Alexandria database, functional PBE.

E_form (uncorrected), kJ per mole of atoms: -307
Crystal system: trigonal

Structure (CIF):
```
data_BaBe2SnF8
_chemical_formula_sum 'Ba3 Be6 Sn3 F24'
_cell_length_a 5.1154
_cell_length_b 5.1154
_cell_length_c 22.7821
_cell_angle_alpha 90.00
_cell_angle_beta 90.00
_cell_angle_gamma 120.00
_symmetry_space_group_name_H-M 'R -3'
_symmetry_Int_Tables_number 148
_symmetry_space_group_name_Hall '-R 3'
loop_
_atom_site_label
_atom_site_fract_x
_atom_site_fract_y
_atom_site_fract_z
_atom_site_occupancy
Ba1 0.0000 0.0000 0.0000 1
Be1 0.0000 0.0000 0.2540 1
Sn1 0.0000 0.0000 0.5000 1
F1 0.0000 0.0000 0.3224 1
F2 0.0293 0.6378 0.4338 1
```

(5)
A relaxed structure of TbPrNd2H. Source: the Alexandria database, functional PBE.

Raw total energy, eV per formula unit: -23.17
Crystal system: tetragonal

Structure (CIF):
```
data_TbPrNd2H
_chemical_formula_sum 'Tb1 Pr1 Nd2 H1'
_cell_length_a 5.163
_cell_length_b 5.163
_cell_length_c 5.118
_cell_angle_alpha 90.00
_cell_angle_beta 90.00
_cell_angle_gamma 90.00
_symmetry_space_group_name_H-M 'P 4/m m m'
_symmetry_Int_Tables_number 123
_symmetry_space_group_name_Hall '-P 4 2'
loop_
_atom_site_label
_atom_site_fract_x
_atom_site_fract_y
_atom_site_fract_z
_atom_site_occupancy
Tb1 0.000 0.000 0.000 1
Pr1 0.500 0.500 0.000 1
Nd1 0.000 0.500 0.500 1
H1 0.000 0.000 0.500 1
```

(6)
A relaxed structure of IrSI3. Source: the Alexandria database, functional PBE.

Excess energy over the best structure of this formula in the dataset, eV/atom: 0.603
E_form (uncorrected), kJ per mole of atoms: 135
Crystal system: cubic

Structure (CIF):
```
data_IrSI3
_chemical_formula_sum 'Ir1 S1 I3'
_cell_length_a 5.461
_cell_length_b 5.461
_cell_length_c 5.461
_cell_angle_alpha 90.00
_cell_angle_beta 90.00
_cell_angle_gamma 90.00
_symmetry_space_group_name_H-M 'P m -3 m'
_symmetry_Int_Tables_number 221
_symmetry_space_group_name_Hall '-P 4 2 3'
loop_
_atom_site_label
_atom_site_fract_x
_atom_site_fract_y
_atom_site_fract_z
_atom_site_occupancy
Ir1 0.000 0.000 0.000 1
S1 0.500 0.500 0.500 1
I1 0.000 0.500 0.500 1
```

(7)
A relaxed structure of K2BaSeS. Source: the Alexandria database, functional PBE.

E_form (uncorrected), kJ per mole of atoms: -46
Crystal system: tetragonal

Structure (CIF):
```
data_K2BaSeS
_chemical_formula_sum 'K2 Ba1 Se1 S1'
_cell_length_a 5.698
_cell_length_b 5.698
_cell_length_c 6.163
_cell_angle_alpha 90.00
_cell_angle_beta 90.00
_cell_angle_gamma 90.00
_symmetry_space_group_name_H-M 'P 4/m m m'
_symmetry_Int_Tables_number 123
_symmetry_space_group_name_Hall '-P 4 2'
loop_
_atom_site_label
_atom_site_fract_x
_atom_site_fract_y
_atom_site_fract_z
_atom_site_occupancy
K1 0.000 0.500 0.000 1
Ba1 0.000 0.000 0.500 1
Se1 0.500 0.500 0.500 1
S1 0.500 0.500 0.000 1
```

(8)
A relaxed structure of Dy2Cd5Ag. Source: the Alexandria database, functional PBE.

Formation energy, eV per atom: -0.059
Crystal system: trigonal

Structure (CIF):
```
data_Dy2Cd5Ag
_chemical_formula_sum 'Dy6 Cd15 Ag3'
_cell_length_a 4.6969
_cell_length_b 4.6969
_cell_length_c 32.7406
_cell_angle_alpha 90.00
_cell_angle_beta 90.00
_cell_angle_gamma 120.00
_symmetry_space_group_name_H-M 'R -3 m'
_symmetry_Int_Tables_number 166
_symmetry_space_group_name_Hall '-R 3 2"'
loop_
_atom_site_label
_atom_site_fract_x
_atom_site_fract_y
_atom_site_fract_z
_atom_site_occupancy
Dy1 0.0000 0.0000 0.0918 1
Cd1 0.0000 0.0000 0.1964 1
Cd2 0.0000 0.0000 0.3652 1
Cd3 0.0000 0.0000 0.5000 1
Ag1 0.0000 0.0000 0.0000 1
```

(9)
A relaxed structure of PaBO. Source: the Alexandria database, functional PBE.

E_form (uncorrected), kJ per mole of atoms: -182
Crystal system: orthorhombic

Structure (CIF):
```
data_PaBO
_chemical_formula_sum 'Pa4 B4 O4'
_cell_length_a 7.392
_cell_length_b 3.383
_cell_length_c 6.487
_cell_angle_alpha 90.00
_cell_angle_beta 90.00
_cell_angle_gamma 90.00
_symmetry_space_group_name_H-M 'P n m a'
_symmetry_Int_Tables_number 62
loop_
_symmetry_equiv_pos_as_xyz
'x,y,z'
'-x,-y,-z'
'-x+1/2,-y,z+1/2'
'x+1/2,y,-z+1/2'
'x+1/2,-y+1/2,-z+1/2'
'-x+1/2,y+1/2,z+1/2'
'-x,y+1/2,-z'
'x,-y+1/2,z'
loop_
_atom_site_label
_atom_site_fract_x
_atom_site_fract_y
_atom_site_fract_z
_atom_site_occupancy
Pa1 0.173 0.250 0.183 1
B1 0.017 0.750 0.453 1
O1 0.127 0.750 0.944 1
```

(10)
A relaxed structure of TbSeF. Source: the Alexandria database, functional PBE.

E_form (uncorrected), kJ per mole of atoms: -273
Crystal system: monoclinic

Structure (CIF):
```
data_TbSeF
_chemical_formula_sum 'Tb4 Se4 F4'
_cell_length_a 9.847
_cell_length_b 4.040
_cell_length_c 6.908
_cell_angle_alpha 90.00
_cell_angle_beta 106.69
_cell_angle_gamma 90.00
_symmetry_space_group_name_H-M 'C 1 2/m 1'
_symmetry_Int_Tables_number 12
loop_
_symmetry_equiv_pos_as_xyz
'x,y,z'
'-x,-y,-z'
'-x,y,-z'
'x,-y,z'
'x+1/2,y+1/2,z'
'-x+1/2,-y+1/2,-z'
'-x+1/2,y+1/2,-z'
'x+1/2,-y+1/2,z'
loop_
_atom_site_label
_atom_site_fract_x
_atom_site_fract_y
_atom_site_fract_z
_atom_site_occupancy
Tb1 0.202 0.000 0.250 1
Se1 0.103 0.000 0.818 1
F1 0.170 0.500 0.404 1
```

(11)
A relaxed structure of Ba12Na6Cd. Source: the Alexandria database, functional PBE.

Formation energy, eV per atom: 0.033
Crystal system: trigonal

Structure (CIF):
```
data_Ba12Na6Cd
_chemical_formula_sum 'Ba36 Na18 Cd3'
_cell_length_a 13.9642
_cell_length_b 13.9642
_cell_length_c 17.8356
_cell_angle_alpha 90.00
_cell_angle_beta 90.00
_cell_angle_gamma 120.00
_symmetry_space_group_name_H-M 'R -3'
_symmetry_Int_Tables_number 148
_symmetry_space_group_name_Hall '-R 3'
loop_
_atom_site_label
_atom_site_fract_x
_atom_site_fract_y
_atom_site_fract_z
_atom_site_occupancy
Ba1 0.0329 0.8496 0.3258 1
Ba2 0.0548 0.2081 0.9059 1
Na1 0.0416 0.6010 0.2045 1
Cd1 0.0000 0.0000 0.5000 1
```

(12)
A relaxed structure of ZrFe2Tc. Source: the Alexandria database, functional PBE.

Excess energy over the best structure of this formula in the dataset, eV/atom: 0.084
Formation energy, eV per atom: 0.092
Crystal system: monoclinic

Structure (CIF):
```
data_ZrFe2Tc
_chemical_formula_sum 'Zr1 Fe2 Tc1'
_cell_length_a 2.729
_cell_length_b 4.286
_cell_length_c 5.140
_cell_angle_alpha 90.00
_cell_angle_beta 99.45
_cell_angle_gamma 90.00
_symmetry_space_group_name_H-M 'P 1 m 1'
_symmetry_Int_Tables_number 6
loop_
_symmetry_equiv_pos_as_xyz
'x,y,z'
'x,-y,z'
loop_
_atom_site_label
_atom_site_fract_x
_atom_site_fract_y
_atom_site_fract_z
_atom_site_occupancy
Zr1 0.000 0.000 0.000 1
Fe1 0.511 0.000 0.492 1
Fe2 0.709 0.500 0.260 1
Tc1 0.248 0.500 0.709 1
```